No. 1
! GGA-PBE Rb5Pu2F12, optimized geometry; values from VASP
! - N(E_F) (states/eV/f.u.) = 19.8
! - formation energy from raw total energies (eV per atom) = -3.147
! - uncorrected energy (eV for the cell shown) = -115.754
&SYSTEM
  ibrav = 0, nat = 19, ntyp = 3
/
ATOMIC_SPECIES
Rb 85.47 Rb.upf
Pu 244.00 Pu.upf
F 19.00 F.upf
ATOMIC_POSITIONS crystal
Rb 0.9907 0.2681 0.2681
Rb 0.5162 0.2990 0.2990
Rb 0.5000 0.0000 0.0000
Rb 0.4838 0.7010 0.7010
Rb 0.0093 0.7319 0.7319
Pu 0.0000 0.7526 0.2474
Pu 0.0000 0.2474 0.7526
F 0.1829 0.9226 0.9226
F 0.2302 0.1026 0.5290
F 0.2302 0.5290 0.1026
F 0.8193 0.1303 0.7063
F 0.8193 0.7063 0.1303
F 0.8405 0.5020 0.5020
F 0.1595 0.4980 0.4980
F 0.1807 0.8697 0.2937
F 0.1807 0.2937 0.8697
F 0.7698 0.8974 0.4710
F 0.7698 0.4710 0.8974
F 0.8171 0.0774 0.0774
CELL_PARAMETERS angstrom
7.1041 0.0276 3.5335
2.1132 6.8486 3.8668
0.0127 0.1593 8.1422

***

No. 2
! GGA-PBE RbPuF3, optimized geometry; values from VASP
! - distance to the lowest polymorph of the same formula (eV per formula unit) = 0.27
! - N(E_F) (states/eV/f.u.) = 9.7
! - formation energy from raw total energies (eV per atom) = -2.889
! - uncorrected energy (eV for the cell shown) = -35.357
&SYSTEM
  ibrav = 0, nat = 5, ntyp = 3
/
ATOMIC_SPECIES
F 19.00 F.upf
Rb 85.47 Rb.upf
Pu 244.00 Pu.upf
ATOMIC_POSITIONS crystal
F 0.0000 0.5000 0.0000
F 0.0000 0.0000 0.5000
F 0.5000 0.0000 0.0000
Rb 0.5000 0.5000 0.5000
Pu 0.0000 0.0000 0.0000
CELL_PARAMETERS angstrom
4.8284 0.0000 0.0000
0.0000 4.8284 0.0000
0.0000 0.0000 4.8284

***

No. 3
! GGA-PBE Rb3Pu6F20, optimized geometry; values from VASP
! - N(E_F) (states/eV/f.u.) = 81.7
! - formation energy from raw total energies (eV per atom) = -3.369
! - uncorrected energy (eV for the cell shown) = -224.015
&SYSTEM
  ibrav = 0, nat = 29, ntyp = 3
/
ATOMIC_SPECIES
Rb 85.47 Rb.upf
Pu 244.00 Pu.upf
F 19.00 F.upf
ATOMIC_POSITIONS crystal
Rb 0.7500 0.7500 0.7500
Rb 0.2500 0.2500 0.2500
Rb 0.0000 0.0000 0.0000
Pu 0.2664 0.7336 0.7336
Pu 0.7336 0.2664 0.2664
Pu 0.2664 0.2664 0.7336
Pu 0.7336 0.2664 0.7336
Pu 0.2664 0.7336 0.2664
Pu 0.7336 0.7336 0.2664
F 0.3884 0.3884 0.8348
F 0.1652 0.6116 0.6116
F 0.6749 0.0000 0.0000
F 0.6749 0.3251 0.0000
F 0.0000 0.0000 0.6749
F 0.3884 0.8348 0.3884
F 0.0000 0.3251 0.6749
F 0.6749 0.0000 0.3251
F 0.0000 0.6749 0.0000
F 0.0000 0.0000 0.3251
F 0.3251 0.0000 0.6749
F 0.0000 0.3251 0.0000
F 0.3251 0.6749 0.0000
F 0.3251 0.0000 0.0000
F 0.3884 0.3884 0.3884
F 0.6116 0.6116 0.1652
F 0.6116 0.6116 0.6116
F 0.6116 0.1652 0.6116
F 0.8348 0.3884 0.3884
F 0.0000 0.6749 0.3251
CELL_PARAMETERS angstrom
7.6011 0.0000 4.3885
2.5337 7.1664 4.3885
0.0000 0.0000 8.7770

***

No. 4
! GGA-PBE Rb2Pu3F10, optimized geometry; values from VASP
! - N(E_F) (states/eV/f.u.) = 22.2
! - formation energy from raw total energies (eV per atom) = -3.261
! - uncorrected energy (eV for the cell shown) = -225.122
&SYSTEM
  ibrav = 0, nat = 30, ntyp = 3
/
ATOMIC_SPECIES
Rb 85.47 Rb.upf
Pu 244.00 Pu.upf
F 19.00 F.upf
ATOMIC_POSITIONS crystal
Rb 0.7206 0.3728 0.4413
Rb 0.2794 0.6272 0.5587
Rb 0.6088 0.6631 0.2176
Rb 0.3912 0.3369 0.7824
Pu 0.9165 0.5263 0.8330
Pu 0.0835 0.4737 0.1670
Pu 0.8116 0.9664 0.6231
Pu 0.1884 0.0336 0.3769
Pu 0.7429 0.0000 0.0000
Pu 0.2571 0.0000 0.0000
F 0.6603 0.9475 0.7733
F 0.1130 0.9475 0.7733
F 0.3397 0.0525 0.2267
F 0.8870 0.0525 0.2267
F 0.6167 0.5322 0.7032
F 0.0865 0.5322 0.7032
F 0.3833 0.4678 0.2968
F 0.9135 0.4678 0.2968
F 0.9800 0.8151 0.9599
F 0.0200 0.1849 0.0401
F 0.8616 0.2494 0.7232
F 0.1384 0.7506 0.2768
F 0.7473 0.7102 0.4946
F 0.2527 0.2898 0.5054
F 0.5047 0.8318 0.0093
F 0.4953 0.1682 0.9907
F 0.7990 0.5000 0.0000
F 0.2010 0.5000 0.0000
F 0.5000 0.0000 0.5000
F 0.0000 0.0000 0.5000
CELL_PARAMETERS angstrom
-4.7439 4.4301 -3.4932
5.7266 0.8730 -6.6699
-4.1061 -10.5893 -0.0762

***

No. 5
! GGA-PBE Rb6PuF12, optimized geometry; values from VASP
! - N(E_F) (states/eV/f.u.) = 28.6
! - formation energy from raw total energies (eV per atom) = -2.735
! - uncorrected energy (eV for the cell shown) = -94.566
&SYSTEM
  ibrav = 0, nat = 19, ntyp = 3
/
ATOMIC_SPECIES
Rb 85.47 Rb.upf
Pu 244.00 Pu.upf
F 19.00 F.upf
ATOMIC_POSITIONS crystal
Rb 0.1501 0.3369 0.5975
Rb 0.6631 0.4025 0.8499
Rb 0.4025 0.8499 0.6631
Rb 0.8499 0.6631 0.4025
Rb 0.3369 0.5975 0.1501
Rb 0.5975 0.1501 0.3369
Pu 0.0000 0.0000 0.0000
F 0.4133 0.1701 0.6022
F 0.1701 0.6022 0.4133
F 0.6022 0.4133 0.1701
F 0.5867 0.8299 0.3978
F 0.8299 0.3978 0.5867
F 0.3978 0.5867 0.8299
F 0.0216 0.9233 0.7457
F 0.2543 0.9784 0.0767
F 0.0767 0.2543 0.9784
F 0.9784 0.0767 0.2543
F 0.7457 0.0216 0.9233
F 0.9233 0.7457 0.0216
CELL_PARAMETERS angstrom
7.9212 -0.2050 -1.1161
-1.2556 7.8238 -1.1161
-0.1793 -0.2050 7.9975

***

No. 6
! GGA-PBE RbPuF3, optimized geometry; values from VASP
! - distance to the lowest polymorph of the same formula (eV per formula unit) = 0.00
! - N(E_F) (states/eV/f.u.) = 8.3
! - formation energy from raw total energies (eV per atom) = -2.942
! - uncorrected energy (eV for the cell shown) = -142.499
&SYSTEM
  ibrav = 0, nat = 20, ntyp = 3
/
ATOMIC_SPECIES
Rb 85.47 Rb.upf
Pu 244.00 Pu.upf
F 19.00 F.upf
ATOMIC_POSITIONS crystal
Rb 0.7637 0.6126 0.1188
Rb 0.2363 0.3874 0.8812
Rb 0.2637 0.3874 0.3812
Rb 0.7363 0.6126 0.6188
Pu 0.2222 0.9160 0.6249
Pu 0.7778 0.0840 0.3751
Pu 0.7222 0.0840 0.8751
Pu 0.2778 0.9160 0.1249
F 0.0056 0.8326 0.3577
F 0.9944 0.1674 0.6423
F 0.5056 0.1674 0.1423
F 0.4944 0.8326 0.8577
F 0.4981 0.8599 0.3886
F 0.5019 0.1401 0.6114
F 0.9981 0.1401 0.1114
F 0.0019 0.8599 0.8886
F 0.2256 0.6220 0.6263
F 0.7744 0.3780 0.3737
F 0.7256 0.3780 0.8737
F 0.2744 0.6220 0.1263
CELL_PARAMETERS angstrom
-4.1245 -4.3604 0.5536
5.8900 -5.5913 -0.1571
0.7169 0.3141 7.8149

***

No. 7
! GGA-PBE RbPuF4, optimized geometry; values from VASP
! - distance to the lowest polymorph of the same formula (eV per formula unit) = 0.00
! - N(E_F) (states/eV/f.u.) = 10.0
! - formation energy from raw total energies (eV per atom) = -3.343
! - uncorrected energy (eV for the cell shown) = -171.362
&SYSTEM
  ibrav = 0, nat = 24, ntyp = 3
/
ATOMIC_SPECIES
Rb 85.47 Rb.upf
Pu 244.00 Pu.upf
F 19.00 F.upf
ATOMIC_POSITIONS crystal
Rb 0.7500 0.7758 0.8018
Rb 0.2500 0.2242 0.1982
Rb 0.2500 0.7242 0.3018
Rb 0.7500 0.2758 0.6982
Pu 0.7500 0.2479 0.4413
Pu 0.2500 0.7521 0.5587
Pu 0.2500 0.2521 0.9413
Pu 0.7500 0.7479 0.0587
F 0.7500 0.8902 0.6283
F 0.2500 0.1098 0.3717
F 0.2500 0.6098 0.1283
F 0.7500 0.3902 0.8717
F 0.7500 0.8696 0.4605
F 0.2500 0.1304 0.5395
F 0.2500 0.6304 0.9605
F 0.7500 0.3696 0.0395
F 0.7500 0.0058 0.9458
F 0.2500 0.9942 0.0542
F 0.2500 0.4942 0.4458
F 0.7500 0.5058 0.5542
F 0.7500 0.8994 0.1873
F 0.2500 0.1006 0.8127
F 0.2500 0.6006 0.6873
F 0.7500 0.3994 0.3127
CELL_PARAMETERS angstrom
3.8208 0.0000 0.0000
0.0000 6.4816 0.0000
0.0000 0.0000 16.2244

***

No. 8
! GGA-PBE Rb2PuScF6, optimized geometry; values from VASP
! - N(E_F) (states/eV/f.u.) = 16.6
! - formation energy from raw total energies (eV per atom) = -3.055
! - uncorrected energy (eV for the cell shown) = -128.748
&SYSTEM
  ibrav = 0, nat = 20, ntyp = 4
/
ATOMIC_SPECIES
Rb 85.47 Rb.upf
Pu 244.00 Pu.upf
Sc 44.96 Sc.upf
F 19.00 F.upf
ATOMIC_POSITIONS crystal
Rb 0.5000 0.8590 0.2498
Rb 0.0000 0.1410 0.7498
Rb 0.5000 0.8590 0.7502
Rb 0.0000 0.1410 0.2502
Pu 0.0000 0.5887 0.5000
Pu 0.5000 0.4113 0.0000
Sc 0.5000 0.2423 0.5000
Sc 0.0000 0.7577 0.0000
F 0.5000 0.2404 0.2373
F 0.5000 0.2404 0.7627
F 0.0000 0.7596 0.2627
F 0.0000 0.7596 0.7373
F 0.2937 0.0615 0.5000
F 0.7063 0.0615 0.5000
F 0.2365 0.3787 0.5000
F 0.7635 0.3787 0.5000
F 0.7365 0.6213 0.0000
F 0.2635 0.6213 0.0000
F 0.2063 0.9385 0.0000
F 0.7937 0.9385 0.0000
CELL_PARAMETERS angstrom
6.4733 0.0000 0.0000
0.0000 8.5467 0.0000
0.0000 0.0000 7.9248